Entry from the Alexandria database: a relaxed MnAlMoIrF crystal (PBE with a Hubbard U).

## Properties
**Total energy**: -6.136 eV per atom

Lattice parameters (Å, degrees): 3.161 4.592 7.694 104.95 90.50 109.99
Sites, in units of the cell vectors:
Mn: 0.000 0.000 0.000
Al: 0.218 0.445 0.773
Mo: 0.752 0.522 0.474
Ir: 0.488 0.985 0.723
F: 0.115 0.253 0.276